The following is a DFT calculation (PBE) of crystalline LiY2SbH at its relaxed geometry.

Values from the calculation:
Final energy, Ry per atom: -0.3710
Calculated density, Mg/m³: 5.188
Crystal system: tetragonal

Cell: 4.804 4.804 4.266 Å, 90.00 90.00 90.00°
Sites, in units of the cell vectors:
1 H 0.000 0.000 0.000
2 Li 0.000 0.000 0.500
3 Y 0.000 0.500 0.000
4 Y 0.500 0.000 0.000
5 Sb 0.500 0.500 0.500



The following is a DFT calculation (PBE) of crystalline TmGaCu2Ni2 at its relaxed geometry.

Values from the calculation:
Final energy, Ry per atom: -0.3236
Calculated density, Mg/m³: 7.937
Crystal system: tetragonal

Cell: 4.347 4.347 5.350 Å, 90.00 90.00 90.00°
Sites, in units of the cell vectors:
1 Ni 0.500 0.000 0.000
2 Ni 0.000 0.500 0.000
3 Cu 0.500 0.500 0.742
4 Cu 0.500 0.500 0.258
5 Tm 0.000 0.000 0.500
6 Ga 0.000 0.000 0.000



The following is a DFT calculation (PBE) of crystalline ThAsRhS at its relaxed geometry.

Values from the calculation:
Final energy, Ry per atom: -0.5220
Formation energy from raw total energies, eV/atom: -1.216
Calculated density, Mg/m³: 8.926
Crystal system: tetragonal

Cell: 4.428 4.428 8.387 Å, 90.00 90.00 90.00°
Sites, in units of the cell vectors:
1 Rh 0.000 0.000 0.000
2 Rh 0.500 0.500 0.000
3 S 0.000 0.000 0.500
4 S 0.500 0.500 0.500
5 Th 0.000 0.500 0.294
6 Th 0.500 0.000 0.706
7 As 0.500 0.000 0.148
8 As 0.000 0.500 0.852



The following is a DFT calculation (PBE) of crystalline TcPt2O at its relaxed geometry.

Values from the calculation:
Final energy, Ry per atom: -0.4741
Formation energy from raw total energies, eV/atom: 0.401
Calculated density, Mg/m³: 14.716
Crystal system: tetragonal

Cell: 6.716 6.716 5.377 Å, 51.35 51.35 90.00°
Each line ends with the local moment (μB).
Sites, in units of the cell vectors:
1 Pt 0.375 0.415 0.750  0.04
2 Pt 0.585 0.125 0.250  0.04
3 Pt 0.875 0.835 0.750  0.04
4 Pt 0.165 0.625 0.250  0.04
5 Tc 0.000 0.000 0.000  1.20
6 Tc 0.750 0.250 0.500  1.20
7 O 0.250 0.750 0.500  -0.06
8 O 0.500 0.500 0.000  -0.06